Entry 1:
Below is an optimized crystal structure of InAs2Br, with properties calculated at the PBE level.

The structure in extended XYZ format:
```
4
Lattice="6.9025 -1.7958 0.0000 6.9025 1.7958 0.0000 -0.9561 0.0000 4.9447" Properties=species:S:1:pos:R:3 pbc="T T T"
In 0.0000 0.0000 0.0000
As 3.0368 0.0000 4.3524
As 9.8122 0.0000 0.5923
Br 6.4245 0.0000 2.4724
```

Computed properties:
* distance to the lowest polymorph of the same formula: 0.749 eV/f.u.
* N(E_F): 2.2 states/eV/cell


Entry 2:
Below is an optimized crystal structure of InAs2Br, with properties calculated at the PBE level.

The structure in extended XYZ format:
```
4
Lattice="3.9854 0.0000 0.0000 0.0000 3.9854 0.0000 0.0000 0.0000 6.7346" Properties=species:S:1:pos:R:3 pbc="T T T"
In 0.0000 0.0000 0.0000
As 0.0000 1.9927 3.3673
As 1.9927 0.0000 3.3673
Br 1.9927 1.9927 0.0000
```

Computed properties:
* distance to the lowest polymorph of the same formula: 1.802 eV/f.u.
* N(E_F): 3.7 states/eV/cell


Entry 3:
Below is an optimized crystal structure of InAs2Br, with properties calculated at the PBE level.

The structure in extended XYZ format:
```
4
Lattice="5.6854 -1.8028 0.0000 5.6854 1.8028 0.0000 -3.9747 0.0000 5.6828" Properties=species:S:1:pos:R:3 pbc="T T T"
In 0.0000 0.0000 0.0000
As -0.9401 0.0000 4.8452
As 4.6859 0.0000 3.1617
Br 7.2575 0.0000 2.4634
```

Computed properties:
* distance to the lowest polymorph of the same formula: 0.544 eV/f.u.


Entry 4:
Below is an optimized crystal structure of InAs2Br, with properties calculated at the PBE level.

The structure in extended XYZ format:
```
4
Lattice="4.2992 0.0000 0.0000 0.0000 3.6582 0.0000 -1.6722 0.0000 7.7562" Properties=species:S:1:pos:R:3 pbc="T T T"
In 0.0000 0.0000 0.0000
As -0.2575 1.8291 5.2604
As 1.2973 0.0000 5.0060
Br 2.3920 1.8291 1.3806
```

Computed properties:
* distance to the lowest polymorph of the same formula: 0.457 eV/f.u.
* N(E_F): 1.0 states/eV/cell


Entry 5:
Below is an optimized crystal structure of InAsBr3, with properties calculated at the PBE level.

The structure in extended XYZ format:
```
5
Lattice="5.5378 0.0000 0.0000 0.0000 5.5378 0.0000 0.0000 0.0000 5.5378" Properties=species:S:1:pos:R:3 pbc="T T T"
In 0.0000 0.0000 0.0000
As 2.7689 2.7689 2.7689
Br 0.0000 0.0000 2.7689
Br 0.0000 2.7689 0.0000
Br 2.7689 0.0000 0.0000
```

Computed properties:
* distance to the lowest polymorph of the same formula: 2.046 eV/f.u.
* N(E_F): 6.6 states/eV/cell


Entry 6:
Below is an optimized crystal structure of InAs2Br, with properties calculated at the PBE level.

The structure in extended XYZ format:
```
4
Lattice="3.4902 0.0000 0.0000 0.0000 3.4902 0.0000 0.0000 0.0000 8.9246" Properties=species:S:1:pos:R:3 pbc="T T T"
In 0.0000 0.0000 0.0000
As 0.0000 0.0000 3.9198
As 1.7451 1.7451 2.8739
Br 1.7451 1.7451 7.1272
```

Computed properties:
* distance to the lowest polymorph of the same formula: 0.764 eV/f.u.
* N(E_F): 1.6 states/eV/cell


Entry 7:
Below is an optimized crystal structure of InAs2Br, with properties calculated at the PBE level.

The structure in extended XYZ format:
```
4
Lattice="-2.9155 2.9155 2.9100 2.9155 -2.9155 2.9100 2.9155 2.9155 -2.9100" Properties=species:S:1:pos:R:3 pbc="T T T"
In 0.0000 0.0000 0.0000
As 2.9155 0.0000 0.0000
As 0.0000 2.9155 0.0000
Br 0.0000 0.0000 2.9100
```

Computed properties:
* distance to the lowest polymorph of the same formula: 1.483 eV/f.u.
* N(E_F): 3.3 states/eV/cell


Entry 8:
Below is an optimized crystal structure of InAsBr3, with properties calculated at the PBE level.

The structure in extended XYZ format:
```
5
Lattice="5.4447 0.0000 0.0000 0.0000 5.4447 0.0000 0.0000 0.0000 5.4447" Properties=species:S:1:pos:R:3 pbc="T T T"
In 0.0000 0.0000 0.0000
As 2.7223 2.7223 2.7223
Br 0.0000 2.7223 2.7223
Br 2.7223 0.0000 2.7223
Br 2.7223 2.7223 0.0000
```

Computed properties:
* distance to the lowest polymorph of the same formula: 0.000 eV/f.u.
* N(E_F): 0.1 states/eV/cell


Entry 9:
Below is an optimized crystal structure of InAsBr4, with properties calculated at the PBE level.

The structure in extended XYZ format:
```
6
Lattice="0.0000 4.5534 4.5534 4.5534 0.0000 4.5534 4.5534 4.5534 0.0000" Properties=species:S:1:pos:R:3 pbc="T T T"
In 0.0000 0.0000 0.0000
As 6.8300 6.8300 6.8300
Br 3.4178 3.4178 3.4178
Br 5.6889 5.6889 3.4178
Br 5.6889 3.4178 5.6889
Br 3.4178 5.6889 5.6889
```

Computed properties:
* N(E_F): 7.9 states/eV/cell


Entry 10:
Below is an optimized crystal structure of InAs2Br, with properties calculated at the PBE level.

The structure in extended XYZ format:
```
8
Lattice="-2.9720 2.9720 7.2366 2.9720 -2.9720 7.2366 2.9720 2.9720 -7.2366" Properties=species:S:1:pos:R:3 pbc="T T T"
In 0.0000 0.0000 0.0000
In 0.0000 2.9720 3.6183
As 4.4581 1.4233 -1.8091
As 1.4233 1.4860 1.8091
As -1.4860 1.5487 5.4274
As 1.5487 1.4860 9.0457
Br 2.9720 0.0000 3.6183
Br 0.0000 0.0000 7.2366
```

Computed properties:
* distance to the lowest polymorph of the same formula: 2.482 eV/f.u.
* N(E_F): 5.4 states/eV/cell


Entry 11:
Below is an optimized crystal structure of InAs2Br, with properties calculated at the PBE level.

The structure in extended XYZ format:
```
4
Lattice="2.0818 1.2019 6.7960 -2.0818 1.2019 6.7960 0.0000 -2.4038 6.7960" Properties=species:S:1:pos:R:3 pbc="T T T"
In 0.0000 0.0000 0.0000
As 0.0000 0.0000 5.4310
As 0.0000 0.0000 14.9571
Br 0.0000 0.0000 10.1941
```

Computed properties:
* distance to the lowest polymorph of the same formula: 1.659 eV/f.u.
* N(E_F): 1.5 states/eV/cell


Entry 12:
Below is an optimized crystal structure of InAs2Br, with properties calculated at the PBE level.

The structure in extended XYZ format:
```
4
Lattice="-1.6896 2.4503 5.6848 1.6896 -2.4503 5.6848 1.6896 2.4503 -5.6848" Properties=species:S:1:pos:R:3 pbc="T T T"
In 0.0000 0.0000 0.0000
As 1.6896 0.0000 2.4626
As 0.0000 2.4503 3.2222
Br 0.0000 0.0000 5.6848
```

Computed properties:
* distance to the lowest polymorph of the same formula: 1.594 eV/f.u.
* N(E_F): 2.0 states/eV/cell


Entry 13:
Below is an optimized crystal structure of InAs2Br, with properties calculated at the PBE level.

The structure in extended XYZ format:
```
4
Lattice="0.0000 3.5545 3.5545 3.5545 0.0000 3.5545 3.5545 3.5545 0.0000" Properties=species:S:1:pos:R:3 pbc="T T T"
In 0.0000 0.0000 0.0000
As 1.7773 1.7773 1.7773
As 5.3318 5.3318 5.3318
Br 3.5545 3.5545 3.5545
```

Computed properties:
* distance to the lowest polymorph of the same formula: 2.522 eV/f.u.
* N(E_F): 2.4 states/eV/cell


Entry 14:
Below is an optimized crystal structure of In2As2Br, with properties calculated at the PBE level.

The structure in extended XYZ format:
```
10
Lattice="8.2977 0.0000 0.0000 0.0000 8.2977 0.0000 0.0000 0.0000 3.4987" Properties=species:S:1:pos:R:3 pbc="T T T"
In 1.3662 2.7827 0.0000
In 2.7827 6.9315 0.0000
In 5.5150 1.3662 0.0000
In 6.9315 5.5150 0.0000
As 1.0896 5.2385 1.7494
As 3.0592 1.0896 1.7494
As 5.2385 7.2081 1.7494
As 7.2081 3.0592 1.7494
Br 0.0000 0.0000 0.0000
Br 4.1488 4.1488 0.0000
```

Computed properties:
* distance to the lowest polymorph of the same formula: 1.675 eV/f.u.
* N(E_F): 9.0 states/eV/cell


Entry 15:
Below is an optimized crystal structure of In3AsBr, with properties calculated at the PBE level.

The structure in extended XYZ format:
```
5
Lattice="5.8784 0.0000 0.0000 0.0000 5.8784 0.0000 0.0000 0.0000 5.8784" Properties=species:S:1:pos:R:3 pbc="T T T"
In 0.0000 0.0000 2.9392
In 0.0000 2.9392 0.0000
In 2.9392 0.0000 0.0000
As 2.9392 2.9392 2.9392
Br 0.0000 0.0000 0.0000
```

Computed properties:
* distance to the lowest polymorph of the same formula: 2.195 eV/f.u.
* N(E_F): 2.8 states/eV/cell


Entry 16:
Below is an optimized crystal structure of InAs3Br, with properties calculated at the PBE level.

The structure in extended XYZ format:
```
5
Lattice="5.2956 0.0000 0.0000 0.0000 5.2956 0.0000 0.0000 0.0000 5.2956" Properties=species:S:1:pos:R:3 pbc="T T T"
In 0.0000 0.0000 0.0000
As 0.0000 0.0000 2.6478
As 0.0000 2.6478 0.0000
As 2.6478 0.0000 0.0000
Br 2.6478 2.6478 2.6478
```

Computed properties:
* distance to the lowest polymorph of the same formula: 0.000 eV/f.u.
* N(E_F): 7.9 states/eV/cell


Entry 17:
Below is an optimized crystal structure of InAs2Br, with properties calculated at the PBE level.

The structure in extended XYZ format:
```
4
Lattice="3.9406 0.0000 0.0000 0.0000 3.9406 0.0000 0.0000 0.0000 6.5874" Properties=species:S:1:pos:R:3 pbc="T T T"
In 0.0000 0.0000 0.0000
As 1.9703 1.9703 1.2168
As 1.9703 1.9703 5.3706
Br 0.0000 0.0000 3.2937
```

Computed properties:
* distance to the lowest polymorph of the same formula: 1.632 eV/f.u.
* N(E_F): 2.7 states/eV/cell


Entry 18:
Below is an optimized crystal structure of InAs2Br, with properties calculated at the PBE level.

The structure in extended XYZ format:
```
4
Lattice="1.8796 -3.1858 0.0000 1.8796 3.1858 0.0000 0.0000 0.0000 9.5348" Properties=species:S:1:pos:R:3 pbc="T T T"
In 0.0000 0.0000 0.0000
As 0.0000 0.0000 4.2374
As 1.8796 0.0000 2.6432
Br 1.8796 0.0000 7.4519
```

Computed properties:
* distance to the lowest polymorph of the same formula: 1.051 eV/f.u.
* N(E_F): 1.2 states/eV/cell


Entry 19:
Below is an optimized crystal structure of InAs2IrBr, with properties calculated at the PBE level.

The structure in extended XYZ format:
```
5
Lattice="4.7852 0.0000 0.0000 0.0000 4.7852 0.0000 0.0000 0.0000 5.7271" Properties=species:S:1:pos:R:3 pbc="T T T"
In 0.0000 0.0000 0.0000
As 0.0000 2.3926 2.8636
As 2.3926 0.0000 2.8636
Ir 2.3926 2.3926 2.8636
Br 2.3926 2.3926 0.0000
```

Computed properties:
* distance to the lowest polymorph of the same formula: 0.000 eV/f.u.
* N(E_F): 5.1 states/eV/cell


Entry 20:
Below is an optimized crystal structure of KInAsBr2, with properties calculated at the PBE level.

The structure in extended XYZ format:
```
5
Lattice="5.8229 0.0000 0.0000 0.0000 5.8229 0.0000 0.0000 0.0000 5.3312" Properties=species:S:1:pos:R:3 pbc="T T T"
K 0.0000 0.0000 0.0000
In 2.9115 2.9115 2.6656
As 2.9115 2.9115 0.0000
Br 0.0000 2.9115 2.6656
Br 2.9115 0.0000 2.6656
```

Computed properties:
* distance to the lowest polymorph of the same formula: 0.000 eV/f.u.
* N(E_F): 1.9 states/eV/cell


Table of energy (eV per atom), in record order: -3.473 -3.210 -3.524 -3.546 -2.414 -3.469 -3.290 -2.823 -1.779 -3.040 -3.246 -3.262 -3.030 -3.207 -2.414 -2.736 -3.252 -3.398 -4.238 -2.900
Table of energy relative to the elements, uncorrected (eV per atom), in record order: -0.045 0.218 -0.097 -0.119 0.067 -0.042 0.138 -0.342 0.567 0.388 0.182 0.166 0.398 0.083 0.494 0.936 0.175 0.030 0.277 -0.533